No. 1
This record from Alexandria describes a relaxed structure of InRe2Ge. The functional is PBE-GGA.

Cell: 4.501 4.501 4.501 Å, 60.00 60.00 60.00°
Element x y z (fractional)
In: 0.000 0.000 0.000
Re: 0.250 0.250 0.250
Re: 0.750 0.750 0.750
Ge: 0.500 0.500 0.500

* energy of formation from the pure elements: 65.1 kJ/mol of atoms
* Fermi-level density of states: 1.048 states/eV/atom
* excess energy over the best structure of this formula in the dataset: 0.0 meV per atom
* calculated volume: 64.5 Å³ per cell


No. 2
This record from Alexandria describes a relaxed structure of InRe3Ge. The functional is PBE-GGA.

Cell: 4.875 4.875 4.875 Å, 90.00 90.00 90.00°
Element x y z (fractional)
In: 0.000 0.000 0.000
Re: 0.000 0.000 0.500
Re: 0.000 0.500 0.000
Re: 0.500 0.000 0.000
Ge: 0.500 0.500 0.500

* energy of formation from the pure elements: 293.1 kJ/mol of atoms
* Fermi-level density of states: 0.897 states/eV/atom
* excess energy over the best structure of this formula in the dataset: 1418.8 meV per atom
* calculated volume: 115.9 Å³ per cell